# 1
# Sc3TcO7

An optimized crystal structure of Sc3TcO7 (GGA-PBE, Alexandria via LeMat-Bulk). Values from VASP.

Properties
N(E_F) in states/eV/atom: 0.12
Energy relative to the elements, uncorrected in meV/atom: -2762
Electronic total energy in Ha/atom: -0.316

```
&SYSTEM
  ibrav = 0, nat = 22, ntyp = 3
/
ATOMIC_SPECIES
O 16.00 O.upf
Sc 44.96 Sc.upf
Tc 98.00 Tc.upf
ATOMIC_POSITIONS angstrom
O -1.3386 5.3401 5.3024
O 5.4732 0.5938 1.7675
O 1.9006 0.5362 3.3404
O -0.1552 1.9687 3.7295
O 1.0045 3.7075 1.7675
O 2.2340 5.3976 6.8753
O 3.2279 2.1582 1.7675
O 4.5171 4.0983 3.1972
O -0.3824 1.8355 6.7321
O 4.2898 3.9651 0.1945
O 2.2802 5.6569 3.8726
O 3.1301 2.2264 5.3024
O 0.9067 3.7756 5.3024
O 1.8544 0.2770 0.3377
Sc 5.2193 2.7908 1.7003
Sc 1.8463 2.6497 3.5349
Sc -1.0847 3.1430 5.2352
Sc 3.3242 0.0710 1.8346
Sc 2.2883 3.2841 0.0000
Sc 0.8105 5.8629 5.3695
Tc 4.1067 5.8938 3.5349
Tc 0.0279 0.0400 0.0000
CELL_PARAMETERS angstrom
6.1988 0.0882 0.0000
-2.0641 5.8457 0.0000
0.0000 0.0000 7.0698
```



# 2
# Ac2ZnSn4Pd3

An optimized crystal structure of Ac2ZnSn4Pd3 (GGA-PBE, Alexandria via LeMat-Bulk). Values from VASP.

Properties
N(E_F) in states/eV/atom: 0.44
Formation energy in eV/atom: -0.743
Electronic total energy in Ha/atom: -0.178

```
&SYSTEM
  ibrav = 0, nat = 10, ntyp = 4
/
ATOMIC_SPECIES
Sn 118.71 Sn.upf
Zn 65.41 Zn.upf
Pd 106.42 Pd.upf
Ac 227.00 Ac.upf
ATOMIC_POSITIONS angstrom
Sn 0.0000 2.3409 4.0803
Sn 0.0000 0.0000 0.0000
Sn 2.3409 0.0000 6.9188
Sn 2.3409 2.3409 0.0000
Zn 2.3409 2.3409 5.4995
Pd 0.0000 0.0000 5.4995
Pd 2.3409 0.0000 9.5843
Pd 0.0000 2.3409 1.4148
Ac 2.3409 0.0000 2.8172
Ac 0.0000 2.3409 8.1819
CELL_PARAMETERS angstrom
4.6818 0.0000 0.0000
0.0000 4.6818 0.0000
0.0000 0.0000 10.9991
```



# 3
# Ho9ErTm2

An optimized crystal structure of Ho9ErTm2 (GGA-PBE, Alexandria via LeMat-Bulk). Values from VASP.

Properties
Offset from the most stable computed form in eV/f.u.: 0.379
N(E_F) in states/eV/atom: 1.63
Formation energy in eV/atom: 0.055
Electronic total energy in Ha/atom: -0.166

```
&SYSTEM
  ibrav = 0, nat = 12, ntyp = 3
/
ATOMIC_SPECIES
Ho 164.93 Ho.upf
Tm 168.93 Tm.upf
Er 167.26 Er.upf
ATOMIC_POSITIONS angstrom
Ho 0.0000 -2.7708 4.7991
Ho 0.0000 5.5415 0.0000
Ho 1.7305 2.6064 7.9036
Ho 1.7305 0.0000 3.3892
Ho 1.7305 5.5415 6.2090
Ho 1.7305 2.9351 1.6946
Ho 1.7305 8.1479 1.6946
Ho 0.0000 2.7708 4.7991
Ho 1.7305 -2.6064 7.9036
Tm 0.0000 5.5415 3.1994
Tm 0.0000 0.0000 6.3988
Er 0.0000 0.0000 0.0000
CELL_PARAMETERS angstrom
3.4611 0.0000 0.0000
0.0000 11.0830 0.0000
0.0000 -5.5415 9.5982
```



# 4
# NpIn2HgCl6

An optimized crystal structure of NpIn2HgCl6 (GGA-PBE, Alexandria via LeMat-Bulk). Values from VASP.

Properties
N(E_F) in states/eV/atom: 0.38
Energy relative to the elements, uncorrected in meV/atom: -1161
Electronic total energy in Ha/atom: -0.152

```
&SYSTEM
  ibrav = 0, nat = 10, ntyp = 4
/
ATOMIC_SPECIES
Cl 35.45 Cl.upf
Hg 200.59 Hg.upf
In 114.82 In.upf
Np 237.00 Np.upf
ATOMIC_POSITIONS angstrom
Cl 12.2865 3.8805 4.9561
Cl 10.9539 8.1327 2.1098
Cl 9.1380 7.5794 7.0448
Cl 5.7765 7.2705 2.9462
Cl 7.1966 2.7517 5.9621
Cl 9.1207 3.3470 0.7204
Hg 8.9344 5.4063 3.8937
In 11.7938 7.1366 5.1398
In 3.5494 2.1478 1.5469
Np 0.2528 0.1530 0.1102
CELL_PARAMETERS angstrom
8.5588 0.5947 0.4283
4.4977 7.3059 0.4283
4.4977 2.7216 6.7936
```



# 5
# MgNi2

An optimized crystal structure of MgNi2 (GGA-PBE, Alexandria via LeMat-Bulk). Values from VASP.

Properties
N(E_F) in states/eV/atom: 0.72
Formation energy in eV/atom: 0.246
Electronic total energy in Ha/atom: -0.152

```
&SYSTEM
  ibrav = 0, nat = 9, ntyp = 2
/
ATOMIC_SPECIES
Mg 24.30 Mg.upf
Ni 58.69 Ni.upf
ATOMIC_POSITIONS angstrom
Mg 1.2970 -1.5093 -0.1846
Mg -2.1695 -2.0704 1.6856
Mg 0.1833 -0.2614 3.4252
Ni 2.6707 -0.6711 2.6131
Ni 0.3867 -2.5781 2.1578
Ni -1.5250 -1.7905 3.9243
Ni -1.1526 -3.6107 -0.2139
Ni 0.5888 0.3593 1.1991
Ni -1.0499 -0.9006 -0.0126
CELL_PARAMETERS angstrom
2.5361 1.5475 5.1649
-4.5222 -3.8793 -0.0541
2.5940 -3.0187 -0.3692
```



# 6
# KAcGe2O6

An optimized crystal structure of KAcGe2O6 (GGA-PBE, Alexandria via LeMat-Bulk). Values from VASP.

Properties
N(E_F) in states/eV/atom: 0.00
Energy relative to the elements, uncorrected in meV/atom: -2168
Electronic total energy in Ha/atom: -0.242

```
&SYSTEM
  ibrav = 0, nat = 20, ntyp = 4
/
ATOMIC_SPECIES
O 16.00 O.upf
Ge 72.64 Ge.upf
Ac 227.00 Ac.upf
K 39.10 K.upf
ATOMIC_POSITIONS angstrom
O 5.1207 5.2872 7.5485
O 5.2283 5.2840 4.5891
O 1.3484 1.8435 2.8077
O 1.7799 4.4175 1.3727
O 1.4561 1.8403 -0.1518
O 4.1424 0.9433 4.1906
O 3.8185 -0.4846 1.5587
O 3.7109 2.4727 1.6715
O 2.7582 7.6121 5.8380
O 4.7968 2.7100 6.0240
O 2.4343 6.1842 3.2061
O 2.8658 4.6548 5.7252
Ge 1.9278 2.6963 1.2814
Ge 2.2865 6.2117 4.9296
Ge 4.2902 0.9159 2.4672
Ge 4.6489 4.4312 6.1153
Ac 2.1071 1.9950 5.4750
Ac 4.4696 5.1325 1.9218
K 4.4696 -0.0939 6.9579
K 2.1071 7.2214 0.4388
CELL_PARAMETERS angstrom
4.7249 -0.5295 -0.5495
0.9259 8.0821 -0.1257
0.9259 -0.4251 8.0719
```



# 7
# ZrIn2Os

An optimized crystal structure of ZrIn2Os (GGA-PBE, Alexandria via LeMat-Bulk). Values from VASP.

Properties
N(E_F) in states/eV/atom: 0.93
Formation energy in eV/atom: 0.337
Electronic total energy in Ha/atom: -0.220

```
&SYSTEM
  ibrav = 0, nat = 4, ntyp = 3
/
ATOMIC_SPECIES
In 114.82 In.upf
Zr 91.22 Zr.upf
Os 190.23 Os.upf
ATOMIC_POSITIONS angstrom
In -3.7115 1.2278 2.3615
In -0.1625 0.0538 0.1034
Zr -6.3674 0.3755 3.6273
Os -2.4934 -0.9061 1.1623
CELL_PARAMETERS angstrom
-1.7782 -1.0077 -2.2709
0.6656 -2.0861 2.1306
-7.7481 2.5631 4.9299
```



# 8
# CuGeIrO6

An optimized crystal structure of CuGeIrO6 (GGA-PBE, Alexandria via LeMat-Bulk). Values from VASP.

Properties
N(E_F) in states/eV/atom: 0.66
Energy relative to the elements, uncorrected in meV/atom: -840
Electronic total energy in Ha/atom: -0.224

```
&SYSTEM
  ibrav = 0, nat = 18, ntyp = 4
/
ATOMIC_SPECIES
O 16.00 O.upf
Ge 72.64 Ge.upf
Cu 63.55 Cu.upf
Ir 192.22 Ir.upf
ATOMIC_POSITIONS angstrom
O -2.0452 -3.6475 1.8067
O 0.0903 -4.9252 2.3628
O -0.4726 -2.5693 3.7613
O 6.5378 -3.7069 3.4031
O 5.1402 -6.1205 3.6137
O 0.1380 -3.4425 0.0704
O 4.9652 -4.7850 1.4485
O 2.8316 -4.7071 3.2552
O 4.4023 -2.4292 2.8470
O 1.6610 -2.6473 1.9545
O 4.3546 -3.9119 5.1394
O -0.6476 -1.2339 1.5961
Ge -0.2127 -3.0776 1.9253
Ge 4.7053 -4.2767 3.2845
Cu 0.0000 0.0000 0.0000
Cu 2.6684 -1.2654 3.2056
Ir 2.0369 -3.0114 0.0789
Ir 2.4557 -4.3430 5.1309
CELL_PARAMETERS angstrom
-3.7964 -2.5111 2.1689
2.9524 -2.3125 -3.3704
5.3367 -2.5307 6.4112
```



# 9
# Cs3CeSb2O9

An optimized crystal structure of Cs3CeSb2O9 (GGA-PBE, Alexandria via LeMat-Bulk). Values from VASP.

Properties
N(E_F) in states/eV/atom: 0.72
Energy relative to the elements, uncorrected in meV/atom: -1676
Electronic total energy in Ha/atom: -0.212

```
&SYSTEM
  ibrav = 0, nat = 15, ntyp = 4
/
ATOMIC_SPECIES
Cs 132.91 Cs.upf
O 16.00 O.upf
Sb 121.76 Sb.upf
Ce 140.12 Ce.upf
ATOMIC_POSITIONS angstrom
Cs -4.0851 -2.2311 3.9149
Cs -4.0689 -1.3754 -0.2887
Cs 0.0000 0.0000 0.0000
O -4.9391 0.1584 2.2396
O -3.2149 -3.7649 1.3866
O -1.3125 -3.5169 3.5130
O -1.3215 -2.6776 -0.5501
O -2.0169 -0.2629 -2.2544
O -6.1857 -2.3673 1.7207
O -6.8415 -0.0896 0.1132
O 0.6953 -2.4148 1.7042
O -1.9683 -1.2392 1.9055
Sb -1.3077 -3.1124 1.5329
Sb -6.8463 -0.4940 2.0933
Ce -2.7554 0.8744 2.3632
CELL_PARAMETERS angstrom
-4.0337 -0.5258 -4.5087
1.3906 -4.8295 3.4084
-5.5109 1.7488 4.7264
```



# 10
# Ac5Sn3

An optimized crystal structure of Ac5Sn3 (GGA-PBE, Alexandria via LeMat-Bulk). Values from VASP.

Properties
Offset from the most stable computed form in eV/f.u.: 0.000
N(E_F) in states/eV/atom: 1.06
Formation energy in eV/atom: -0.614
Electronic total energy in Ha/atom: -0.172

```
&SYSTEM
  ibrav = 0, nat = 16, ntyp = 2
/
ATOMIC_SPECIES
Sn 118.71 Sn.upf
Ac 227.00 Ac.upf
ATOMIC_POSITIONS angstrom
Sn 1.8428 3.8809 0.0000
Sn 5.5283 5.9723 0.0000
Sn 1.8428 2.9861 5.1721
Sn 1.8428 -1.9405 3.3610
Sn 5.5283 1.9405 3.3610
Sn 5.5283 -2.9861 5.1721
Ac 5.5283 2.4109 0.0000
Ac 1.8428 7.4423 0.0000
Ac 1.8428 1.2055 2.0879
Ac 5.5283 -1.2055 2.0879
Ac 5.5283 3.7211 6.4452
Ac 0.0000 0.0000 5.6887
Ac 3.6855 4.9266 2.8444
Ac 3.6855 0.0000 5.6887
Ac 1.8428 -3.7211 6.4452
Ac 0.0000 4.9266 2.8444
CELL_PARAMETERS angstrom
7.3711 0.0000 0.0000
0.0000 9.8532 0.0000
0.0000 -4.9266 8.5331
```



# 11
# NaHfBe2

An optimized crystal structure of NaHfBe2 (GGA-PBE, Alexandria via LeMat-Bulk). Values from VASP.

Properties
Offset from the most stable computed form in eV/f.u.: 0.000
N(E_F) in states/eV/atom: 0.54
Formation energy in eV/atom: 0.583
Electronic total energy in Ha/atom: -0.151

```
&SYSTEM
  ibrav = 0, nat = 4, ntyp = 3
/
ATOMIC_SPECIES
Na 22.99 Na.upf
Be 9.01 Be.upf
Hf 178.49 Hf.upf
ATOMIC_POSITIONS angstrom
Na 0.0000 0.0000 0.0000
Be 2.0134 -7.1991 -3.3500
Be 0.6711 -2.3997 -1.1167
Hf 1.3422 -4.7994 -2.2333
CELL_PARAMETERS angstrom
1.5447 -2.0016 -3.6729
2.6564 -3.5639 0.3527
-1.5166 -4.0333 -1.1465
```



Which of these has the lowest electronic total energy? Sc3TcO7